Record 1
SrRe3As (PBE-GGA, optimized geometry); formation energy = 3797 meV per atom; energy above the lowest structure with this stoichiometry = 2.460 eV per atom; E = -4.94 eV/atom; M_tot = 2.2 μB/f.u.
1.0
4.835 0.000 0.000
0.000 4.835 0.000
0.000 0.000 4.835
Sr Re As
1 3 1
Cartesian
0.000 0.000 0.000
0.000 0.000 2.417
0.000 2.417 0.000
2.417 0.000 0.000
2.417 2.417 2.417


Record 2
KRb2GaBr6 (PBE-GGA, optimized geometry); E = -2.93 eV/atom; M_tot = 0.0 μB/f.u.; formation energy without anion corrections = -1.32 eV/atom
1.0
0.000 5.699 5.699
5.699 0.000 5.699
5.699 5.699 0.000
K Rb Ga Br
1 2 1 6
Cartesian
0.000 0.000 0.000
2.850 2.850 2.850
8.549 8.549 8.549
5.699 5.699 5.699
5.699 5.699 3.132
5.699 3.132 5.699
8.267 5.699 5.699
3.132 5.699 5.699
5.699 8.267 5.699
5.699 5.699 8.267


Record 3
DyMgCdAu (PBE-GGA, optimized geometry); formation energy = -542 meV per atom; E = -3.14 eV/atom; M_tot = 0.0 μB/f.u.
1.0
0.000 3.522 3.522
3.522 0.000 3.522
3.522 3.522 0.000
Dy Mg Cd Au
1 1 1 1
Cartesian
0.000 0.000 0.000
3.522 3.522 3.522
5.282 5.282 5.282
1.761 1.761 1.761


Record 4
Rb2Na3Tl (PBE-GGA, optimized geometry); formation energy = -23 meV per atom; energy above the lowest structure with this stoichiometry = 0.000 eV per atom; E = -1.40 eV/atom; M_tot = 0.0 μB/f.u.
1.0
6.089 -3.703 0.000
6.089 3.703 0.000
-3.788 0.000 5.965
Rb Na Tl
2 3 1
Cartesian
0.154 0.000 2.218
8.236 0.000 3.747
3.044 1.852 0.000
3.044 -1.852 0.000
4.195 0.000 2.983
6.089 0.000 0.000


Record 5
LiMg5Zn (PBE-GGA, optimized geometry); formation energy = 7 meV per atom; energy above the lowest structure with this stoichiometry = 0.000 eV per atom; E = -1.59 eV/atom; M_tot = 0.0 μB/f.u.
1.0
6.785 -3.765 0.000
6.785 3.765 0.000
-1.631 0.000 5.816
Li Mg Zn
2 10 2
Cartesian
5.563 2.085 4.362
6.378 -2.085 1.454
1.575 0.679 3.178
6.378 2.459 1.454
2.391 -0.679 0.271
4.551 0.083 2.272
3.736 -0.083 5.179
8.204 0.083 0.636
7.389 -0.083 3.544
9.550 0.679 5.545
5.563 -2.459 4.362
10.365 -0.679 2.637
3.393 1.883 0.000
2.577 -1.883 2.908


Record 6
Ta2TlAg (PBE-GGA, optimized geometry); formation energy = 437 meV per atom; E = -6.79 eV/atom; M_tot = 0.0 μB/f.u.
1.0
3.977 0.000 0.000
0.000 4.171 0.000
0.000 0.000 4.572
Ta Tl Ag
2 1 1
Cartesian
0.000 0.000 0.000
1.989 2.085 0.000
0.000 2.085 2.286
1.989 0.000 2.286


Record 7
Cd2GaBi (PBE-GGA, optimized geometry); formation energy = 76 meV per atom; energy above the lowest structure with this stoichiometry = 0.000 eV per atom; E = -2.11 eV/atom; M_tot = 0.0 μB/f.u.
1.0
4.676 0.000 0.000
0.000 4.676 0.000
0.000 0.000 4.558
Cd Ga Bi
2 1 1
Cartesian
0.000 2.338 0.000
2.338 0.000 0.000
0.000 0.000 2.279
2.338 2.338 2.279


Record 8
Ca3Ta (PBE-GGA, optimized geometry); formation energy = 758 meV per atom; energy above the lowest structure with this stoichiometry = 0.201 eV per atom; E = -3.71 eV/atom; M_tot = 2.6 μB/f.u.
1.0
0.000 3.953 3.953
3.953 0.000 3.953
3.953 3.953 0.000
Ca Ta
3 1
Cartesian
0.000 0.000 0.000
1.977 1.977 1.977
5.930 5.930 5.930
3.953 3.953 3.953


Record 9
Ca2CePmTl4 (PBE-GGA, optimized geometry); formation energy = -363 meV per atom; E = -3.38 eV/atom; M_tot = 1.0 μB/f.u.
1.0
2.753 1.589 8.999
-2.753 1.589 8.999
0.000 -3.179 8.999
Ca Ce Pm Tl
2 1 1 4
Cartesian
0.000 0.000 6.756
0.000 0.000 20.241
0.000 0.000 13.498
0.000 0.000 0.000
0.000 0.000 3.368
0.000 0.000 10.129
0.000 0.000 16.868
0.000 0.000 23.628


Record 10
NaTlBr2F8 (PBE-GGA, optimized geometry); E = -2.84 eV/atom; M_tot = 4.0 μB/f.u.; formation energy without anion corrections = -1.01 eV/atom
1.0
5.237 0.000 0.000
-2.618 4.535 0.000
0.000 0.000 9.525
Na Tl Br F
1 1 2 8
Cartesian
0.000 0.000 0.000
0.000 0.000 4.762
0.000 3.023 2.759
2.618 1.512 6.765
-0.722 1.668 1.486
-0.813 4.327 1.486
0.000 3.023 4.839
1.083 1.459 8.039
1.535 3.076 1.486
2.618 1.512 4.686
3.431 0.209 8.039
3.341 2.867 8.039


Record 11
YErSiAu (PBE-GGA, optimized geometry); E = -5.60 eV/atom; M_tot = 0.2 μB/f.u.; formation energy without anion corrections = -0.67 eV/atom
1.0
0.000 3.556 3.556
3.556 0.000 3.556
3.556 3.556 0.000
Y Er Si Au
1 1 1 1
Cartesian
0.000 0.000 0.000
3.556 3.556 3.556
5.334 5.334 5.334
1.778 1.778 1.778


Record 12
TbMgCo10 (PBE-GGA, optimized geometry); formation energy = 9 meV per atom; E = -6.43 eV/atom; M_tot = 15.5 μB/f.u.
1.0
3.992 0.000 0.000
0.000 4.796 0.000
0.000 0.000 8.438
Tb Mg Co
1 1 10
Cartesian
0.000 0.000 0.000
0.000 2.398 4.219
0.000 0.000 2.898
0.000 0.000 5.539
0.000 2.398 1.595
0.000 2.398 6.842
1.996 0.000 4.219
1.996 1.200 2.123
1.996 1.200 6.315
1.996 2.398 0.000
1.996 3.596 2.123
1.996 3.596 6.315